Entry from the Alexandria database: a relaxed TiZnMo crystal (PBE-GGA).

Cell lengths 2.7274, 4.4547, 4.4547 Å; angles 120.00, 90.00, 90.00 degrees
Sites, in units of the cell vectors:
1 Mo 0.1669 0.3333 0.6667
2 Zn 0.6665 0.6667 0.3333
3 Ti 0.1666 0.0000 0.0000

ΔE_f (eV per atom): 0.082
Crystal system: hexagonal
Calculated total energy (eV per atom): -6.58
Polymorph energy (0 for the lowest one) (kJ/mol of atoms): 6.5